(1)
# PBE ZrSn, relaxed
# - Uncorrected energy: -6.539 eV/atom
data_ZrSn
_chemical_formula_sum 'Zr8 Sn8'
_symmetry_space_group_name_H-M 'P m m n'
_symmetry_Int_Tables_number 59
_cell_length_a 5.312
_cell_length_b 12.759
_cell_length_c 5.532
_cell_angle_alpha 90.00
_cell_angle_beta 90.00
_cell_angle_gamma 90.00
loop_
_symmetry_equiv_pos_as_xyz
'x,y,z'
'-x,-y,-z'
'-x+1/2,-y+1/2,z'
'x+1/2,y+1/2,-z'
'x+1/2,-y,-z'
'-x+1/2,y,z'
'-x,y+1/2,-z'
'x,-y+1/2,z'
loop_
_atom_site_label
_atom_site_type_symbol
_atom_site_fract_x
_atom_site_fract_y
_atom_site_fract_z
Zr1 Zr 0.250 0.007 0.161
Zr2 Zr 0.250 0.133 0.666
Sn1 Sn 0.250 0.250 0.167
Sn2 Sn 0.250 0.601 0.670
Sn3 Sn 0.250 0.750 0.218


(2)
# PBE ZrSn, relaxed
# - Uncorrected energy: -6.516 eV/atom
data_ZrSn
_chemical_formula_sum 'Zr6 Sn6'
_symmetry_space_group_name_H-M 'P 1 21/m 1'
_symmetry_Int_Tables_number 11
_cell_length_a 6.998
_cell_length_b 5.193
_cell_length_c 7.959
_cell_angle_alpha 90.00
_cell_angle_beta 103.80
_cell_angle_gamma 90.00
loop_
_symmetry_equiv_pos_as_xyz
'x,y,z'
'-x,-y,-z'
'-x,y+1/2,-z'
'x,-y+1/2,z'
loop_
_atom_site_label
_atom_site_type_symbol
_atom_site_fract_x
_atom_site_fract_y
_atom_site_fract_z
Zr1 Zr 0.036 0.250 0.128
Zr2 Zr 0.131 0.750 0.538
Zr3 Zr 0.367 0.250 0.485
Sn1 Sn 0.183 0.250 0.798
Sn2 Sn 0.277 0.750 0.214
Sn3 Sn 0.474 0.750 0.835


(3)
# PBE Zr3Sn, relaxed
# - Uncorrected energy: -7.246 eV/atom
data_Zr3Sn
_chemical_formula_sum 'Zr3 Sn1'
_symmetry_space_group_name_H-M 'P 6/m m m'
_symmetry_Int_Tables_number 191
_symmetry_space_group_name_Hall '-P 6 2'
_cell_length_a 6.0498
_cell_length_b 6.0498
_cell_length_c 2.9682
_cell_angle_alpha 90.00
_cell_angle_beta 90.00
_cell_angle_gamma 120.00
loop_
_atom_site_label
_atom_site_type_symbol
_atom_site_fract_x
_atom_site_fract_y
_atom_site_fract_z
Zr1 Zr 0.0000 0.5000 0.0000
Sn1 Sn 0.0000 0.0000 0.0000


(4)
# PBE ZrSn, relaxed
# - Uncorrected energy: -6.617 eV/atom
data_ZrSn
_chemical_formula_sum 'Zr2 Sn2'
_symmetry_space_group_name_H-M 'P m m n'
_symmetry_Int_Tables_number 59
_cell_length_a 3.556
_cell_length_b 5.373
_cell_length_c 4.790
_cell_angle_alpha 90.00
_cell_angle_beta 90.00
_cell_angle_gamma 90.00
loop_
_symmetry_equiv_pos_as_xyz
'x,y,z'
'-x,-y,-z'
'-x+1/2,-y+1/2,z'
'x+1/2,y+1/2,-z'
'x+1/2,-y,-z'
'-x+1/2,y,z'
'-x,y+1/2,-z'
'x,-y+1/2,z'
loop_
_atom_site_label
_atom_site_type_symbol
_atom_site_fract_x
_atom_site_fract_y
_atom_site_fract_z
Zr1 Zr 0.250 0.250 0.004
Sn1 Sn 0.250 0.750 0.496


(5)
# PBE ZrSn, relaxed
# - Uncorrected energy: -6.568 eV/atom
data_ZrSn
_chemical_formula_sum 'Zr6 Sn6'
_symmetry_space_group_name_H-M 'P m c 21'
_symmetry_Int_Tables_number 26
_cell_length_a 5.301
_cell_length_b 9.581
_cell_length_c 5.461
_cell_angle_alpha 90.00
_cell_angle_beta 90.00
_cell_angle_gamma 90.00
loop_
_symmetry_equiv_pos_as_xyz
'x,y,z'
'-x,-y,z+1/2'
'-x,y,z'
'x,-y,z+1/2'
loop_
_atom_site_label
_atom_site_type_symbol
_atom_site_fract_x
_atom_site_fract_y
_atom_site_fract_z
Zr1 Zr 0.000 0.081 0.000
Zr2 Zr 0.000 0.411 0.055
Zr3 Zr 0.500 0.095 0.433
Sn1 Sn 0.000 0.248 0.533
Sn2 Sn 0.500 0.224 0.928
Sn3 Sn 0.500 0.436 0.372


(6)
# PBE ZrSn, relaxed
# - Uncorrected energy: -6.679 eV/atom
data_ZrSn
_chemical_formula_sum 'Zr1 Sn1'
_symmetry_space_group_name_H-M 'P -6 m 2'
_symmetry_Int_Tables_number 187
_symmetry_space_group_name_Hall 'P -6 2'
_cell_length_a 3.2814
_cell_length_b 3.2814
_cell_length_c 4.9290
_cell_angle_alpha 90.00
_cell_angle_beta 90.00
_cell_angle_gamma 120.00
loop_
_atom_site_label
_atom_site_type_symbol
_atom_site_fract_x
_atom_site_fract_y
_atom_site_fract_z
Zr1 Zr 0.0000 0.0000 0.0000
Sn1 Sn 0.3333 0.6667 0.5000


(7)
# PBE ZrSn, relaxed
# - Uncorrected energy: -6.559 eV/atom
data_ZrSn
_chemical_formula_sum 'Zr2 Sn2'
_symmetry_space_group_name_H-M 'P 63/m m c'
_symmetry_Int_Tables_number 194
_symmetry_space_group_name_Hall '-P 6c 2c'
_cell_length_a 4.0856
_cell_length_b 4.0856
_cell_length_c 7.1624
_cell_angle_alpha 90.00
_cell_angle_beta 90.00
_cell_angle_gamma 120.00
loop_
_atom_site_label
_atom_site_type_symbol
_atom_site_fract_x
_atom_site_fract_y
_atom_site_fract_z
Zr1 Zr 0.0000 0.0000 0.0000
Sn1 Sn 0.3333 0.6667 0.2500


(8)
# PBE ZrSn, relaxed
# - Uncorrected energy: -6.502 eV/atom
data_ZrSn
_chemical_formula_sum 'Zr6 Sn6'
_symmetry_space_group_name_H-M 'P 1 21/m 1'
_symmetry_Int_Tables_number 11
_cell_length_a 6.198
_cell_length_b 5.534
_cell_length_c 8.357
_cell_angle_alpha 90.00
_cell_angle_beta 100.19
_cell_angle_gamma 90.00
loop_
_symmetry_equiv_pos_as_xyz
'x,y,z'
'-x,-y,-z'
'-x,y+1/2,-z'
'x,-y+1/2,z'
loop_
_atom_site_label
_atom_site_type_symbol
_atom_site_fract_x
_atom_site_fract_y
_atom_site_fract_z
Zr1 Zr 0.133 0.250 0.082
Zr2 Zr 0.203 0.750 0.270
Zr3 Zr 0.352 0.750 0.922
Sn1 Sn 0.024 0.750 0.591
Sn2 Sn 0.311 0.250 0.776
Sn3 Sn 0.475 0.250 0.403


(9)
# PBE Zr3Sn7, relaxed
# - Offset from the most stable computed form: 68 kJ/mol of formula units
data_Zr3Sn7
_chemical_formula_sum 'Zr6 Sn14'
_symmetry_space_group_name_H-M 'C m m m'
_symmetry_Int_Tables_number 65
_symmetry_space_group_name_Hall '-C 2 2'
_cell_length_a 4.282
_cell_length_b 26.346
_cell_length_c 4.230
_cell_angle_alpha 90.00
_cell_angle_beta 90.00
_cell_angle_gamma 90.00
loop_
_atom_site_label
_atom_site_type_symbol
_atom_site_fract_x
_atom_site_fract_y
_atom_site_fract_z
Zr1 Zr 0.000 0.000 0.000
Zr2 Zr 0.000 0.189 0.000
Sn1 Sn 0.000 0.098 0.500
Sn2 Sn 0.000 0.290 0.500
Sn3 Sn 0.000 0.401 0.000
Sn4 Sn 0.000 0.500 0.500


(10)
# PBE Zr5Sn, relaxed
# - Uncorrected energy: -7.976 eV/atom
data_Zr5Sn
_chemical_formula_sum 'Zr5 Sn1'
_symmetry_space_group_name_H-M 'P -6 2 m'
_symmetry_Int_Tables_number 189
_symmetry_space_group_name_Hall 'P -6 -2'
_cell_length_a 5.5426
_cell_length_b 5.5426
_cell_length_c 5.1635
_cell_angle_alpha 90.00
_cell_angle_beta 90.00
_cell_angle_gamma 120.00
loop_
_atom_site_label
_atom_site_type_symbol
_atom_site_fract_x
_atom_site_fract_y
_atom_site_fract_z
Zr1 Zr 0.0000 0.3221 0.0000
Zr2 Zr 0.3333 0.6667 0.5000
Sn1 Sn 0.0000 0.0000 0.5000


(11)
# PBE ZrSn, relaxed
# - Uncorrected energy: -6.471 eV/atom
data_ZrSn
_chemical_formula_sum 'Zr4 Sn4'
_symmetry_space_group_name_H-M 'P -6 m 2'
_symmetry_Int_Tables_number 187
_symmetry_space_group_name_Hall 'P -6 2'
_cell_length_a 6.3769
_cell_length_b 6.3769
_cell_length_c 5.2387
_cell_angle_alpha 90.00
_cell_angle_beta 90.00
_cell_angle_gamma 120.00
loop_
_atom_site_label
_atom_site_type_symbol
_atom_site_fract_x
_atom_site_fract_y
_atom_site_fract_z
Zr1 Zr 0.0000 0.0000 0.0000
Zr2 Zr 0.1670 0.3340 0.5000
Sn1 Sn 0.0054 0.5027 0.0000
Sn2 Sn 0.6667 0.3333 0.5000


(12)
# PBE ZrSn, relaxed
# - Uncorrected energy: -6.653 eV/atom
data_ZrSn
_chemical_formula_sum 'Zr4 Sn4'
_symmetry_space_group_name_H-M 'P b c m'
_symmetry_Int_Tables_number 57
_cell_length_a 6.039
_cell_length_b 5.549
_cell_length_c 5.545
_cell_angle_alpha 90.00
_cell_angle_beta 90.00
_cell_angle_gamma 90.00
loop_
_symmetry_equiv_pos_as_xyz
'x,y,z'
'-x,-y,-z'
'-x,-y,z+1/2'
'x,y,-z+1/2'
'x,-y+1/2,-z'
'-x,y+1/2,z'
'-x,y+1/2,-z+1/2'
'x,-y+1/2,z+1/2'
loop_
_atom_site_label
_atom_site_type_symbol
_atom_site_fract_x
_atom_site_fract_y
_atom_site_fract_z
Zr1 Zr 0.128 0.002 0.250
Sn1 Sn 0.360 0.502 0.250


no.,mass density (g cm⁻³)
1,7.438
2,7.447
3,6.925
4,7.618
5,7.541
6,7.585
7,6.734
8,7.414
9,7.687
10,6.948
11,7.558
12,7.505